PuPaFe2: relaxed, PBE-GGA.

abc: 4.677 4.677 4.677
angles: 60.00 60.00 60.00
Sites, in units of the cell vectors:
Pu1 0.000 0.000 0.000
Pa1 0.500 0.500 0.500
Fe1 0.250 0.250 0.250
Fe2 0.750 0.750 0.750

excess energy over the best structure of this formula in the dataset	67	meV/atom
calculated volume	18.086	A^3/atom
theoretical density	13.47	Mg/m³
space-group type	Fm-3m
total magnetization	3.56	μB/f.u.
density of states at the Fermi level	2.140	states/eV per atom